The following is a PBEsol calculation of an optimized crystal structure of YSc2CrSi, from Alexandria via LeMat-Bulk.

Geometry as CIF:
```
data_YSc2CrSi
_space_group_name_H-M_alt 'P 4/m m m'
_space_group_IT_number 123
_space_group_name_Hall '-P 4 2'
_cell_length_a 4.972
_cell_length_b 4.972
_cell_length_c 5.349
_cell_angle_alpha 90.00
_cell_angle_beta 90.00
_cell_angle_gamma 90.00
loop_
_atom_site_label
_atom_site_fract_x
_atom_site_fract_y
_atom_site_fract_z
_atom_site_occupancy
Y1 0.000 0.000 0.000 1
Sc1 0.000 0.500 0.500 1
Cr1 0.500 0.500 0.000 1
Si1 0.000 0.000 0.500 1
```

Values from the calculation:
DOS at the Fermi energy in states/eV/cell: 9.109
Electronic total energy in eV for the cell shown: -34.02